(1)
First-principles (PBE) data for an optimized crystal structure of CeTlGa4, as listed in Alexandria.

Unit cell a=5.6807 b=5.6807 c=5.6807 alpha=60.00 beta=60.00 gamma=60.00
Positions (direct):
Ce1 0.0000 0.0000 0.0000
Tl1 0.2500 0.2500 0.2500
Ga1 0.1243 0.6252 0.6252
Ga2 0.6252 0.1243 0.6252
Ga3 0.6252 0.6252 0.1243
Ga4 0.6252 0.6252 0.6252

E_form = -185 meV/atom

---

(2)
First-principles (PBE) data for an optimized crystal structure of Ce7Tl3Ga, as listed in Alexandria.

Unit cell a=7.8452 b=7.8452 c=5.6837 alpha=107.60 beta=107.60 gamma=89.01
Positions (direct):
Ce1 0.0000 0.0000 0.0000
Ce2 0.0640 0.5749 0.3519
Ce3 0.2910 0.2910 0.7957
Ce4 0.4251 0.9360 0.6481
Ce5 0.5749 0.0640 0.3519
Ce6 0.7090 0.7090 0.2043
Ce7 0.9360 0.4251 0.6481
Tl1 0.2806 0.7194 0.0000
Tl2 0.5000 0.5000 0.5000
Tl3 0.7194 0.2806 0.0000
Ga1 0.0000 0.0000 0.5000

E_form = -104 meV/atom

---

(3)
First-principles (PBE) data for an optimized crystal structure of Ce2TlGa2, as listed in Alexandria.

Unit cell a=8.0509 b=8.0509 c=3.4803 alpha=90.00 beta=90.00 gamma=147.47
Positions (direct):
Ce1 0.1226 0.8774 0.0000
Ce2 0.8774 0.1226 0.0000
Tl1 0.5000 0.5000 0.5000
Ga1 0.2949 0.7051 0.5000
Ga2 0.7051 0.2949 0.5000

polymorph energy (0 for the lowest one) = 0 meV per atom
E_form = -426 meV/atom

---

(4)
First-principles (PBE) data for an optimized crystal structure of CeTl2Ga, as listed in Alexandria.

Unit cell a=11.5946 b=11.5946 c=11.5946 alpha=16.75 beta=16.75 gamma=16.75
Positions (direct):
Ce1 0.0000 0.0000 0.0000
Tl1 0.0941 0.0941 0.0941
Tl2 0.9059 0.9059 0.9059
Ga1 0.5000 0.5000 0.5000

polymorph energy (0 for the lowest one) = 465 meV per atom
E_form = 189 meV/atom

---

(5)
First-principles (PBE) data for an optimized crystal structure of Ce5TlGa2, as listed in Alexandria.

Unit cell a=8.6272 b=8.6272 c=8.6272 alpha=122.89 beta=122.89 gamma=85.05
Positions (direct):
Ce1 0.0000 0.0000 0.0000
Ce2 0.0186 0.5186 0.8450
Ce3 0.1735 0.0186 0.5000
Ce4 0.3265 0.8265 0.8450
Ce5 0.4814 0.3265 0.5000
Ce6 0.5000 0.5000 0.0000
Ce7 0.5186 0.6735 0.5000
Ce8 0.6735 0.1735 0.1550
Ce9 0.8265 0.9814 0.5000
Ce10 0.9814 0.4814 0.1550
Tl1 0.2500 0.2500 0.0000
Tl2 0.7500 0.7500 0.0000
Ga1 0.1232 0.3768 0.5000
Ga2 0.3768 0.8768 0.2536
Ga3 0.6232 0.1232 0.7464
Ga4 0.8768 0.6232 0.5000

polymorph energy (0 for the lowest one) = 0 meV per atom
E_form = -273 meV/atom

---

(6)
First-principles (PBE) data for an optimized crystal structure of Ce5Tl2Ga2, as listed in Alexandria.

Unit cell a=9.0433 b=9.0433 c=7.9574 alpha=90.00 beta=90.00 gamma=51.79
Positions (direct):
Ce1 0.0000 0.0000 0.0000
Ce2 0.0649 0.6806 0.6809
Ce3 0.1806 0.5649 0.1809
Ce4 0.3194 0.9351 0.6809
Ce5 0.4351 0.8194 0.1809
Ce6 0.5000 0.5000 0.5000
Ce7 0.5649 0.1806 0.8191
Ce8 0.6806 0.0649 0.3191
Ce9 0.8194 0.4351 0.8191
Ce10 0.9351 0.3194 0.3191
Tl1 0.2227 0.2227 0.0000
Tl2 0.2773 0.2773 0.5000
Tl3 0.7227 0.7227 0.5000
Tl4 0.7773 0.7773 0.0000
Ga1 0.1116 0.8884 0.3835
Ga2 0.3884 0.6116 0.8835
Ga3 0.6116 0.3884 0.1165
Ga4 0.8884 0.1116 0.6165

E_form = -268 meV/atom

---

(7)
First-principles (PBE) data for an optimized crystal structure of Ce4Tl2Ga, as listed in Alexandria.

Unit cell a=11.5727 b=11.5727 c=3.5386 alpha=90.00 beta=90.00 gamma=156.22
Positions (direct):
Ce1 0.0613 0.9387 0.0000
Ce2 0.3519 0.6481 0.5000
Ce3 0.6481 0.3519 0.5000
Ce4 0.9387 0.0613 0.0000
Tl1 0.2091 0.7909 0.0000
Tl2 0.7909 0.2091 0.0000
Ga1 0.5000 0.5000 0.5000

E_form = -169 meV/atom

---

(8)
First-principles (PBE) data for an optimized crystal structure of Ce2TlGa2, as listed in Alexandria.

Unit cell a=7.4621 b=7.4621 c=4.4750 alpha=90.00 beta=90.00 gamma=90.00
Positions (direct):
Ce1 0.1718 0.3282 0.0000
Ce2 0.3282 0.8282 0.0000
Ce3 0.6718 0.1718 0.0000
Ce4 0.8282 0.6718 0.0000
Tl1 0.0000 0.0000 0.5000
Tl2 0.5000 0.5000 0.5000
Ga1 0.1230 0.6230 0.5000
Ga2 0.3770 0.1230 0.5000
Ga3 0.6230 0.8770 0.5000
Ga4 0.8770 0.3770 0.5000

polymorph energy (0 for the lowest one) = 3 meV per atom
E_form = -423 meV/atom

---

(9)
First-principles (PBE) data for an optimized crystal structure of Ce6Tl2Ga, as listed in Alexandria.

Unit cell a=8.9803 b=8.9803 c=5.1308 alpha=102.38 beta=102.38 gamma=45.47
Positions (direct):
Ce1 0.0352 0.6336 0.3149
Ce2 0.2044 0.7956 0.0000
Ce3 0.3664 0.9648 0.6851
Ce4 0.6336 0.0352 0.3149
Ce5 0.7956 0.2044 0.0000
Ce6 0.9648 0.3664 0.6851
Tl1 0.3467 0.3467 0.8217
Tl2 0.6533 0.6533 0.1783
Ga1 0.0000 0.0000 0.5000

polymorph energy (0 for the lowest one) = 215 meV per atom
E_form = 53 meV/atom

---

(10)
First-principles (PBE) data for an optimized crystal structure of Ce4Tl5Ga, as listed in Alexandria.

Unit cell a=8.4710 b=8.4710 c=6.7639 alpha=102.51 beta=102.51 gamma=36.73
Positions (direct):
Ce1 0.0713 0.0713 0.3576
Ce2 0.3173 0.3173 0.2338
Ce3 0.6827 0.6827 0.7662
Ce4 0.9287 0.9287 0.6424
Tl1 0.1205 0.1205 0.9264
Tl2 0.2983 0.2983 0.7017
Tl3 0.5000 0.5000 0.0000
Tl4 0.7017 0.7017 0.2983
Tl5 0.8795 0.8795 0.0736
Ga1 0.5000 0.5000 0.5000

E_form = -230 meV/atom

---

(11)
First-principles (PBE) data for an optimized crystal structure of Ce5TlGa3, as listed in Alexandria.

Unit cell a=9.1489 b=9.1489 c=6.3859 alpha=90.00 beta=90.00 gamma=120.00
Positions (direct):
Ce1 0.0000 0.3118 0.2500
Ce2 0.0000 0.6882 0.7500
Ce3 0.3118 0.0000 0.2500
Ce4 0.3118 0.3118 0.7500
Ce5 0.3333 0.6667 0.0000
Ce6 0.3333 0.6667 0.5000
Ce7 0.6667 0.3333 0.0000
Ce8 0.6667 0.3333 0.5000
Ce9 0.6882 0.0000 0.7500
Ce10 0.6882 0.6882 0.2500
Tl1 0.0000 0.0000 0.0000
Tl2 0.0000 0.0000 0.5000
Ga1 0.0000 0.3567 0.7500
Ga2 0.0000 0.6433 0.2500
Ga3 0.3567 0.0000 0.7500
Ga4 0.3567 0.3567 0.2500
Ga5 0.6433 0.0000 0.2500
Ga6 0.6433 0.6433 0.7500

E_form = -347 meV/atom

---

(12)
First-principles (PBE) data for an optimized crystal structure of Ce5TlGa, as listed in Alexandria.

Unit cell a=6.0359 b=6.0359 c=10.7329 alpha=104.45 beta=104.45 gamma=92.96
Positions (direct):
Ce1 0.0324 0.2657 0.0187
Ce2 0.0665 0.9335 0.7500
Ce3 0.2491 0.4381 0.8247
Ce4 0.2657 0.0324 0.5187
Ce5 0.4381 0.2491 0.3247
Ce6 0.5619 0.7509 0.6753
Ce7 0.7343 0.9676 0.4813
Ce8 0.7509 0.5619 0.1753
Ce9 0.9335 0.0665 0.2500
Ce10 0.9676 0.7343 0.9813
Tl1 0.0000 0.5000 0.5000
Tl2 0.5000 0.0000 0.0000
Ga1 0.2989 0.7011 0.2500
Ga2 0.7011 0.2989 0.7500

E_form = -110 meV/atom